# 1
This record from the Alexandria database describes a relaxed Mg2ScCoH8 crystal. The functional is PBE. Values from VASP.

Quantum ESPRESSO input file:
```
&SYSTEM
  ibrav = 0, nat = 12, ntyp = 4
/
ATOMIC_SPECIES
Mg 24.30 Mg.upf
Sc 44.96 Sc.upf
Co 58.93 Co.upf
H 1.01 H.upf
CELL_PARAMETERS angstrom
4.276 0.000 0.000
-2.138 3.703 0.000
0.000 0.000 5.880
ATOMIC_POSITIONS angstrom
Mg 0.000 2.469 2.063
Mg 2.138 1.234 3.817
Sc 0.000 0.000 0.000
Co 0.000 0.000 2.940
H 0.000 1.218 3.965
H -1.083 3.094 3.965
H 1.055 0.609 1.915
H 0.000 2.469 0.160
H 2.138 1.234 5.720
H 1.083 3.094 3.965
H 3.221 0.609 1.915
H 2.138 2.484 1.915
```

=====

# 2
This record from the Alexandria database describes a relaxed SmMgCo2H8 crystal. The functional is PBE. Values from VASP.

Quantum ESPRESSO input file:
```
&SYSTEM
  ibrav = 0, nat = 12, ntyp = 4
/
ATOMIC_SPECIES
Sm 150.36 Sm.upf
Mg 24.30 Mg.upf
Co 58.93 Co.upf
H 1.01 H.upf
CELL_PARAMETERS angstrom
2.279 1.316 5.357
-2.279 1.316 5.357
0.000 -2.631 5.357
ATOMIC_POSITIONS angstrom
Sm 0.000 0.000 0.000
Mg 0.000 0.000 8.036
Co 0.000 0.000 3.152
Co 0.000 0.000 12.920
H -1.790 0.205 7.281
H -1.072 -1.448 8.791
H 0.000 0.000 4.793
H 0.718 -1.652 7.281
H -0.718 1.652 8.791
H 0.000 0.000 11.279
H 1.072 1.448 7.281
H 1.790 -0.205 8.791
```

=====

# 3
This record from the Alexandria database describes a relaxed MgCoSnH2 crystal. The functional is PBE. Values from VASP.

Quantum ESPRESSO input file:
```
&SYSTEM
  ibrav = 0, nat = 5, ntyp = 4
/
ATOMIC_SPECIES
Mg 24.30 Mg.upf
Co 58.93 Co.upf
Sn 118.71 Sn.upf
H 1.01 H.upf
CELL_PARAMETERS angstrom
3.807 0.000 0.000
0.000 3.807 0.000
0.000 0.000 6.069
ATOMIC_POSITIONS angstrom
Mg 0.000 0.000 0.000
Co 1.903 1.903 0.000
Sn 0.000 0.000 3.034
H 0.000 1.903 3.034
H 1.903 0.000 3.034
```

=====

# 4
This record from the Alexandria database describes a relaxed Mg2CoSnH crystal. The functional is PBE. Values from VASP.

Quantum ESPRESSO input file:
```
&SYSTEM
  ibrav = 0, nat = 5, ntyp = 4
/
ATOMIC_SPECIES
Mg 24.30 Mg.upf
Co 58.93 Co.upf
Sn 118.71 Sn.upf
H 1.01 H.upf
CELL_PARAMETERS angstrom
4.517 0.000 0.000
0.000 4.517 0.000
0.000 0.000 3.603
ATOMIC_POSITIONS angstrom
Mg 0.000 2.258 0.000
Mg 2.258 0.000 0.000
Co 0.000 0.000 1.802
Sn 2.258 2.258 1.802
H 0.000 0.000 0.000
```

=====

Number 1: final energy -46.2 eV per formula unit, DOS at the Fermi energy 0.351 states/eV/atom. Number 2: final energy -50.0 eV per formula unit, DOS at the Fermi energy 0.303 states/eV/atom. Number 3: final energy -15.5 eV per formula unit, DOS at the Fermi energy 0.643 states/eV/atom. Number 4: final energy -17.6 eV per formula unit, DOS at the Fermi energy 0.482 states/eV/atom.